A geometry-optimized YHg2Cl structure. Source: Alexandria, functional PBE-GGA.

Results
- calculated volume (A^3/atom) = 24.565
- formation energy from raw total energies (kJ per mole of atoms) = -56
- polymorph energy (0 for the lowest one) (eV per atom) = 0.129

Cell and atoms, written as POSCAR:
```
YHg2Cl
1.0
-0.964 -4.134 3.777
1.818 -4.987 -2.027
2.491 5.087 0.446
Hg Y Cl
2 1 1
Direct
0.250 0.750 0.500
0.000 0.000 0.000
0.500 0.500 0.000
0.750 0.250 0.500
```

A geometry-optimized Pr2MgP3Pt4 structure. Source: Alexandria, functional PBE-GGA.

Results
- calculated volume (A^3/atom) = 18.453
- calculated total energy (eV/cell) = -61.22

Cell and atoms, written as POSCAR:
```
Pr2MgP3Pt4
1.0
-2.896 -2.614 -1.544
1.747 -3.180 2.107
-6.205 2.027 8.205
Pt Pr Mg P
4 2 1 3
Direct
0.000 0.500 0.358
0.500 0.500 0.000
0.500 0.000 0.642
0.000 0.000 0.000
0.000 0.500 0.767
0.500 0.000 0.233
0.500 0.500 0.500
0.000 0.000 0.500
0.500 0.000 0.867
0.000 0.500 0.133
```